Entry 1:
A plane-wave DFT calculation with PBE-GGA was carried out for a geometry-optimized NaLiTe2As structure.

Computed properties:
As for the uncorrected formation energy: -342 meV/atom. Its space group is Cmme, No. 67.

Lattice parameters (Å, degrees): 7.9310 7.9310 6.3032 90.00 90.00 137.08
With the nearest neighbours (Å) after each atom.
Fractional coordinates of all 10 atoms:
Na1 0.2500 0.7500 0.7833  8 Te 3.32-3.56
Na2 0.7500 0.2500 0.2167  8 Te 3.32-3.56
Li1 0.2500 0.2500 0.5000  2 Li 2.90, 4 Te 2.93
Li2 0.7500 0.7500 0.5000  2 Li 2.90, 4 Te 2.93
Te1 0.1435 0.8565 0.2765  1 As 2.74, 2 Li 2.93
Te2 0.3565 0.6435 0.2765  1 As 2.74, 2 Li 2.93
Te3 0.6435 0.3565 0.7235  1 As 2.74, 2 Li 2.93
Te4 0.8565 0.1435 0.7235  1 As 2.74, 2 Li 2.93
As1 0.0000 0.0000 0.0000  2 Te 2.74, 2 As 2.90
As2 0.5000 0.5000 0.0000  2 Te 2.74, 2 As 2.90



Entry 2:
A plane-wave DFT calculation with PBE-GGA was carried out for a geometry-optimized Na2LiZn3As4 structure.

Computed properties:
The calculation puts the formation enthalpy at 0 K at -0.346 eV/atom. Its space group is P-4m2, No. 115.

Lattice parameters (Å, degrees): 4.3504 4.3504 10.6169 90.00 90.00 90.00
With the nearest neighbours (Å) after each atom.
Fractional coordinates of all 10 atoms:
Na1 0.0000 0.5000 0.2387  8 As 3.27-3.53, 6 Zn 3.34, 2 Li 3.34
Na2 0.5000 0.0000 0.7613  8 As 3.27-3.53, 6 Zn 3.34, 2 Li 3.34
Li1 0.5000 0.5000 0.0000  4 As 2.60
Zn1 0.0000 0.0000 0.0000  4 As 2.60
Zn2 0.0000 0.5000 0.6388  5 As 2.42-2.63
Zn3 0.5000 0.0000 0.3612  5 As 2.42-2.63
As1 0.0000 0.0000 0.5000  4 Zn 2.63
As2 0.0000 0.5000 0.8667  3 Zn 2.42-2.60, 2 Li 2.60
As3 0.5000 0.0000 0.1333  3 Zn 2.42-2.60, 2 Li 2.60
As4 0.5000 0.5000 0.5000  4 Zn 2.63



no.,ρ (g/cm³),energy (eV per formula unit)
1,4.43,-15.875
2,4.54,-30.433